[1]
Ge2BrO | GGA-PBE | optimized geometry

a b c (Å): 4.6542 4.6542 4.6542
angles (deg): 60.00 60.00 60.00
Sites, in units of the cell vectors:
Ge 0.2500 0.2500 0.2500
Ge 0.7500 0.7500 0.7500
Br 0.0000 0.0000 0.0000
O 0.5000 0.5000 0.5000

Output
As for the space-group type: Fm-3m, No. 225. The calculation puts the energy above the most stable polymorph in this dataset at 565.5 meV/atom. The calculation puts the density of states at the Fermi level at 0.359 states/eV per atom. Its formation energy without anion corrections is 0.28 eV per atom. For the total energy, the calculation gives -0.2709 Ry per atom.


[2]
In2ReRh | GGA-PBE | optimized geometry

a b c (Å): 9.0803 9.0803 9.0803
angles (deg): 19.12 19.12 19.12
Sites, in units of the cell vectors:
In 0.2473 0.2473 0.2473
In 0.7527 0.7527 0.7527
Re 0.0000 0.0000 0.0000
Rh 0.5000 0.5000 0.5000

Output
As for the space-group type: R-3m, No. 166. The calculation puts the energy above the most stable polymorph in this dataset at 133.5 meV/atom. The calculation puts the density of states at the Fermi level at 0.910 states/eV per atom. The value obtained for the formation energy is 281.8 meV/atom. For the total energy, the calculation gives -0.4437 Ry per atom.


[3]
PrNdTmLu | GGA-PBE | optimized geometry

a b c (Å): 5.7113 5.7113 5.7113
angles (deg): 60.00 60.00 60.00
Sites, in units of the cell vectors:
Pr 0.0000 0.0000 0.0000
Nd 0.5000 0.5000 0.5000
Tm 0.7500 0.7500 0.7500
Lu 0.2500 0.2500 0.2500

Output
As for the space-group type: F-43m, No. 216. The calculation puts the density of states at the Fermi level at 1.614 states/eV per atom. The value obtained for the formation energy is 85.6 meV/atom. For the total energy, the calculation gives -0.3344 Ry per atom.


[4]
CrAsBr2 | GGA-PBE | optimized geometry

a b c (Å): 13.1683 13.1683 13.1683
angles (deg): 14.28 14.28 14.28
Sites, in units of the cell vectors:
Cr 0.0000 0.0000 0.0000
As 0.5000 0.5000 0.5000
Br 0.0595 0.0595 0.0595
Br 0.9405 0.9405 0.9405

Output
As for the space-group type: R-3m, No. 166. The calculation puts the energy above the most stable polymorph in this dataset at 710.1 meV/atom. The calculation puts the density of states at the Fermi level at 0.733 states/eV per atom. Its formation energy without anion corrections is 0.54 eV per atom. For the total energy, the calculation gives -0.2838 Ry per atom.


[5]
ZnCrCo | GGA-PBE | optimized geometry

a b c (Å): 4.0388 4.0388 2.5057
angles (deg): 90.00 90.00 120.00
Sites, in units of the cell vectors:
Zn 0.0000 0.0000 0.0000
Cr 0.3333 0.6667 0.5718
Co 0.6667 0.3333 0.3445

Output
As for the space-group type: P3m1, No. 156. The calculation puts the energy above the most stable polymorph in this dataset at 80.2 meV/atom. The calculation puts the density of states at the Fermi level at 0.740 states/eV per atom. The value obtained for the formation energy is 160.0 meV/atom. For the total energy, the calculation gives -0.4293 Ry per atom.


[6]
GaTcHgO6 | GGA-PBE | optimized geometry

a b c (Å): 5.2044 5.2044 4.8865
angles (deg): 90.00 90.00 120.00
Sites, in units of the cell vectors:
Ga 0.0000 0.0000 0.0000
Tc 0.6667 0.3333 0.0000
Hg 0.3333 0.6667 0.5000
O 0.3455 0.0500 0.7824
O 0.3455 0.2955 0.2176
O 0.7045 0.0500 0.2176
O 0.7045 0.6545 0.7824
O 0.9500 0.2955 0.7824
O 0.9500 0.6545 0.2176

Output
As for the space-group type: P312, No. 149. Its formation energy without anion corrections is -1.07 eV per atom. For the total energy, the calculation gives -0.4332 Ry per atom.